{
  "formula": "LaZrPa",
  "functional": "PBE",
  "state": "optimized geometry",
  "ef_ev_per_fu": 0.48,
  "crystal_system": "trigonal",
  "space_group": "P3m1 (156)",
  "lattice": [[3.351, 0.000, 0.000], [-1.676, 2.902, 0.000], [0.000, 0.000, 8.275]],
  "species": ["Pa", "Zr", "La"],
  "fractional_positions": [[0.667, 0.333, 0.343], [0.333, 0.667, 0.653], [0.000, 0.000, 0.004]]
}